(1)
VASP calculation (PBE-GGA) on crystalline TmTlPd6 at its relaxed geometry.

a b c (Å): 5.480 5.480 5.480
angles (deg): 84.24 84.24 84.24
Fractional coordinates of all 8 atoms:
Tm: 0.000 0.000 0.000
Tl: 0.500 0.500 0.500
Pd: 0.159 0.159 0.532
Pd: 0.159 0.532 0.159
Pd: 0.468 0.841 0.841
Pd: 0.532 0.159 0.159
Pd: 0.841 0.468 0.841
Pd: 0.841 0.841 0.468

Output
**Distance to the lowest polymorph of the same formula**: 0.452 eV per atom
**Uncorrected energy**: -4.86 eV per atom
**E_form**: -0.11 eV per atom
**Magnetization**: 0.00 μB per formula unit
**Space group**: R-3m (166)

***

(2)
VASP calculation (PBE-GGA) on crystalline HoZrPbAu at its relaxed geometry.

a b c (Å): 5.105 5.105 5.105
angles (deg): 60.00 60.00 60.00
Fractional coordinates of all 4 atoms:
Ho: 0.000 0.000 0.000
Zr: 0.500 0.500 0.500
Pb: 0.250 0.250 0.250
Au: 0.750 0.750 0.750

Output
**Uncorrected energy**: -5.41 eV per atom
**E_form**: -0.38 eV per atom
**Magnetization**: 0.00 μB per formula unit
**Space group**: F-43m (216)

***

(3)
VASP calculation (PBE-GGA) on crystalline NbMo2PtRh5 at its relaxed geometry.

a b c (Å): 7.550 7.550 7.550
angles (deg): 121.93 121.93 86.68
Fractional coordinates of all 18 atoms:
Nb: 0.250 0.250 0.000
Nb: 0.750 0.750 0.000
Mo: 0.112 0.612 0.725
Mo: 0.388 0.112 0.500
Mo: 0.612 0.888 0.500
Mo: 0.888 0.388 0.275
Pt: 0.250 0.750 0.500
Pt: 0.750 0.250 0.500
Rh: 0.000 0.000 0.000
Rh: 0.077 0.159 0.500
Rh: 0.159 0.659 0.082
Rh: 0.341 0.423 0.500
Rh: 0.423 0.923 0.082
Rh: 0.500 0.500 0.000
Rh: 0.577 0.077 0.918
Rh: 0.659 0.577 0.500
Rh: 0.841 0.341 0.918
Rh: 0.923 0.841 0.500

Output
**Uncorrected energy**: -8.03 eV per atom
**E_form**: 0.25 eV per atom
**Magnetization**: 0.00 μB per formula unit
**Space group**: I4/mcm (140)

***

(4)
VASP calculation (PBE-GGA) on crystalline TbBiSb at its relaxed geometry.

a b c (Å): 5.146 5.146 4.105
angles (deg): 90.00 90.00 120.00
Fractional coordinates of all 3 atoms:
Tb: 0.000 0.000 0.000
Bi: 0.333 0.667 0.500
Sb: 0.667 0.333 0.000

Output
**Distance to the lowest polymorph of the same formula**: 0.327 eV per atom
**Uncorrected energy**: -4.48 eV per atom
**E_form (uncorrected)**: -0.80 eV/f.u.
**Magnetization**: 0.00 μB per formula unit
**Space group**: P-6m2 (187)

***

(5)
VASP calculation (PBE-GGA) on crystalline NaHo4PuS8 at its relaxed geometry.

a b c (Å): 8.135 8.135 8.135
angles (deg): 59.35 59.35 59.35
Fractional coordinates of all 14 atoms:
Na: 0.000 0.000 0.000
Ho: 0.113 0.631 0.631
Ho: 0.252 0.252 0.252
Ho: 0.631 0.113 0.631
Ho: 0.631 0.631 0.113
Pu: 0.629 0.629 0.629
S: 0.380 0.380 0.854
S: 0.380 0.854 0.380
S: 0.384 0.384 0.384
S: 0.411 0.866 0.866
S: 0.854 0.380 0.380
S: 0.865 0.865 0.865
S: 0.866 0.411 0.866
S: 0.866 0.866 0.411

Output
**Uncorrected energy**: -6.65 eV per atom
**E_form (uncorrected)**: -26.05 eV/f.u.
**Magnetization**: 5.00 μB per formula unit
**Space group**: R3m (160)

***

(6)
VASP calculation (PBE-GGA) on crystalline Ce2TmNpP4 at its relaxed geometry.

a b c (Å): 6.955 4.023 6.964
angles (deg): 90.00 109.48 90.00
Fractional coordinates of all 8 atoms:
Ce: 0.000 0.000 0.000
Ce: 0.000 0.500 0.500
Tm: 0.500 0.000 0.500
Np: 0.500 0.500 0.000
P: 0.258 0.500 0.252
P: 0.260 0.000 0.754
P: 0.740 0.000 0.246
P: 0.742 0.500 0.748

Output
**Uncorrected energy**: -7.73 eV per atom
**E_form**: -1.36 eV per atom
**Magnetization**: 4.96 μB per formula unit
**Space group**: P2/m (10)